Material: BaMgZr2
Method: DFT, PBE
State: relaxed

Formation enthalpy at 0 K, eV/f.u.: 1.77
DOS(E_F), states/eV/cell: 5.1
Total DFT energy (no corrections), eV/atom: -4.7103
V, Å³ per cell: 112.9

Cell and atoms, written as CIF:
```
data_BaMgZr2
_chemical_formula_sum 'Ba1 Mg1 Zr2'
_space_group_name_H-M_alt 'P 4/m m m'
_space_group_IT_number 123
_space_group_name_Hall '-P 4 2'
_cell_length_a 3.590
_cell_length_b 3.590
_cell_length_c 8.760
_cell_angle_alpha 90.00
_cell_angle_beta 90.00
_cell_angle_gamma 90.00
loop_
_atom_site_label
_atom_site_type_symbol
_atom_site_fract_x
_atom_site_fract_y
_atom_site_fract_z
Ba1 Ba 0.000 0.000 0.000
Mg1 Mg 0.000 0.000 0.500
Zr1 Zr 0.500 0.500 0.315
```